First-principles (PBE) data for a geometry-optimized SnTePd structure, as listed in Alexandria.

For the uncorrected formation energy, the calculation gives -286 meV per atom. The value obtained for the total energy is -52.776 eV/cell.

The structure belongs to space group C2/m (No. 12); the cell edges are 13.473, 4.563 and 4.738 Å and the angles 90.00°, 90.29° and 90.00°. The asymmetric unit holds Sn at (0.111, 0.000, 0.226), Te at (0.124, 0.500, 0.715) and Pd at (0.246, 0.500, 0.215).